[1]
Entry from Alexandria: a relaxed structure of BeIr2Rh (PBE-GGA).

Lattice parameters (Å, degrees): 2.766 4.440 4.431 90.00 90.00 90.00
Element x y z (fractional)
Be  0.000  0.500  0.500
Ir  0.500  0.500  0.000
Ir  0.000  0.000  0.000
Rh  0.500  0.000  0.500

SG = Pmmm (47)
Energy of formation = 0.07 eV/atom

---

[2]
Entry from Alexandria: a relaxed structure of BeZn3Cl (PBE-GGA).

Lattice parameters (Å, degrees): 4.542 4.542 4.542 90.00 90.00 90.00
Element x y z (fractional)
Zn  0.000  0.500  0.000
Zn  0.500  0.000  0.000
Zn  0.000  0.000  0.500
Be  0.000  0.000  0.000
Cl  0.500  0.500  0.500

Uncorrected formation energy = 0.11 eV/atom
SG = Pm-3m (221)

---

[3]
Entry from Alexandria: a relaxed structure of LaScTa2 (PBE-GGA).

Lattice parameters (Å, degrees): 4.853 2.979 6.669 68.57 90.00 90.00
Element x y z (fractional)
La  0.500  0.250  0.250
Ta  0.000  0.001  0.968
Sc  0.500  0.750  0.750
Ta  0.000  0.499  0.532

SG = P2/m (10)
Energy of formation = 0.43 eV/atom

---

[4]
Entry from Alexandria: a relaxed structure of LaFe2TeOs (PBE-GGA).

Lattice parameters (Å, degrees): 4.752 5.521 4.752 90.00 90.00 90.00
Each line ends with the local moment (μB).
Element x y z (fractional)
Fe  0.000  0.000  0.500  3.28
La  0.000  0.500  0.000  0.01
Os  0.000  0.000  0.000  0.44
Fe  0.500  0.000  0.000  2.73
Te  0.500  0.500  0.500  0.09

Uncorrected formation energy = 0.51 eV/atom
SG = P4/mmm (123)

---

[5]
Entry from Alexandria: a relaxed structure of AcTeAuS (PBE-GGA).

Lattice parameters (Å, degrees): 4.724 4.724 13.033 79.56 79.56 60.00
Element x y z (fractional)
Ac  0.887  0.887  0.340
Au  0.612  0.612  0.165
S  0.807  0.807  0.580
Te  0.290  0.290  0.129
Ac  0.113  0.113  0.660
Te  0.710  0.710  0.871
Au  0.388  0.388  0.835
S  0.193  0.193  0.420

Uncorrected formation energy = -1.20 eV/atom
SG = R-3m (166)

---

[6]
Entry from Alexandria: a relaxed structure of Y2CrOs (PBE-GGA).

Lattice parameters (Å, degrees): 4.853 4.853 4.853 60.00 60.00 60.00
Each line ends with the local moment (μB).
Element x y z (fractional)
Os  0.750  0.750  0.750  -0.14
Y  0.000  0.000  0.000  0.01
Cr  0.500  0.500  0.500  3.23
Y  0.250  0.250  0.250  0.16

SG = F-43m (216)
Energy of formation = 0.39 eV/atom

---

[7]
Entry from Alexandria: a relaxed structure of LaTb6Er5 (PBE-GGA).

Lattice parameters (Å, degrees): 6.152 7.958 7.958 84.23 82.52 82.52
Element x y z (fractional)
Er  0.500  0.831  0.169
Er  0.000  0.665  0.335
Tb  0.249  0.916  0.581
Tb  0.249  0.581  0.916
Tb  0.751  0.084  0.419
Er  0.500  0.500  0.500
Er  0.500  0.169  0.831
Er  0.000  0.335  0.665
Tb  0.253  0.251  0.251
Tb  0.747  0.749  0.749
La  0.000  0.000  0.000
Tb  0.751  0.419  0.084

SG = C2/m (12)
Energy of formation = 0.02 eV/atom

---

[8]
Entry from Alexandria: a relaxed structure of MgScTi (PBE-GGA).

Lattice parameters (Å, degrees): 3.129 3.129 12.914 90.00 90.00 90.00
Element x y z (fractional)
Mg  0.500  0.000  0.086
Ti  0.000  0.500  0.572
Sc  0.000  0.500  0.269
Mg  0.000  0.500  0.914
Sc  0.500  0.000  0.731
Ti  0.500  0.000  0.428

SG = P4/nmm (129)
Energy of formation = 0.02 eV/atom

---

[9]
Entry from Alexandria: a relaxed structure of AlCuTeSe (PBE-GGA).

Lattice parameters (Å, degrees): 4.189 4.189 7.139 90.00 107.02 120.08
Element x y z (fractional)
Al  0.210  0.489  0.700
Cu  0.202  0.985  0.187
Te  0.466  0.617  0.082
Se  0.451  0.110  0.561

Uncorrected formation energy = -0.36 eV/atom
SG = R3m (160)

---

[10]
Entry from Alexandria: a relaxed structure of CeSm2Bi (PBE-GGA).

Lattice parameters (Å, degrees): 4.743 4.993 4.993 90.00 90.00 90.00
Each line ends with the local moment (μB).
Element x y z (fractional)
Sm  0.000  0.500  0.000  0.02
Sm  0.000  0.000  0.500  0.02
Ce  0.500  0.500  0.500  0.51
Bi  0.500  0.000  0.000  -0.01

SG = P4/mmm (123)
Energy of formation = -0.38 eV/atom

---

[11]
Entry from Alexandria: a relaxed structure of Tm12In3Pb (PBE-GGA).

Lattice parameters (Å, degrees): 4.781 4.781 19.157 90.00 90.00 90.00
Element x y z (fractional)
Tm  0.500  0.500  0.500
Tm  0.500  0.500  0.000
Tm  0.000  0.500  0.375
Tm  0.000  0.500  0.625
In  0.000  0.000  0.500
In  0.000  0.000  0.749
Tm  0.000  0.500  0.874
Pb  0.000  0.000  0.000
In  0.000  0.000  0.251
Tm  0.500  0.500  0.250
Tm  0.500  0.500  0.750
Tm  0.000  0.500  0.126
Tm  0.500  0.000  0.375
Tm  0.500  0.000  0.126
Tm  0.500  0.000  0.874
Tm  0.500  0.000  0.625

SG = P4/mmm (123)
Energy of formation = -0.26 eV/atom

---

[12]
Entry from Alexandria: a relaxed structure of PmY5Er6 (PBE-GGA).

Lattice parameters (Å, degrees): 11.755 6.143 6.138 59.97 85.02 80.01
Element x y z (fractional)
Er  0.251  0.250  0.000
Pm  0.000  0.000  0.000
Er  0.749  0.416  0.667
Y  0.000  0.333  0.333
Er  0.251  0.584  0.333
Y  0.500  0.833  0.334
Y  0.000  0.667  0.667
Er  0.749  0.083  0.333
Y  0.500  0.167  0.666
Y  0.500  0.500  0.000
Er  0.749  0.750  0.000
Er  0.251  0.917  0.667

SG = C2/m (12)
Energy of formation = 0.02 eV/atom